[1]
An optimized crystal structure of BaHg2Au. Source: Alexandria, functional PBE-GGA.

Output
density	10.3	Mg/m³
DFT total energy	-1.86	eV per atom
space group	R-3m
DFT formation energy	-0.41	eV per atom

abc: 6.102 6.102 6.102
angles: 48.88 48.88 48.88
Positions (direct):
Hg1 0.531 0.531 0.531
Hg2 0.969 0.969 0.969
Au1 0.250 0.250 0.250
Ba1 0.750 0.750 0.750

---

[2]
An optimized crystal structure of Ba5Hg2Au2. Source: Alexandria, functional PBE-GGA.

Output
density	6.9	Mg/m³
DFT total energy	-2.40	eV per atom
space group	Cmce
DFT formation energy	-0.53	eV per atom

abc: 8.810 9.005 9.978
angles: 90.00 63.80 90.00
Positions (direct):
Ba1 0.000 0.000 0.000
Ba2 0.963 0.330 0.734
Ba3 0.463 0.170 0.734
Ba4 0.303 0.670 0.734
Ba5 0.803 0.830 0.734
Ba6 0.697 0.330 0.266
Ba7 0.500 0.500 0.000
Ba8 0.197 0.170 0.266
Ba9 0.537 0.830 0.266
Ba10 0.037 0.670 0.266
Hg1 0.207 0.000 0.587
Hg2 0.793 0.000 0.413
Hg3 0.293 0.500 0.413
Hg4 0.707 0.500 0.587
Au1 0.121 0.379 0.000
Au2 0.879 0.621 0.000
Au3 0.379 0.879 0.000
Au4 0.621 0.121 0.000

---

Q: Among the records above, which one has the lowest DFT formation energy?
A: Ba5Hg2Au2